# 1
# FeAg2SbPd (PBE-GGA, relaxed)
# - E: -3.95 eV per atom
# - Total magnetic moment: 2.3 μB per cell
# - Uncorrected formation energy: 0.741 eV/atom
data_FeAg2SbPd
_chemical_formula_sum 'Fe1 Ag2 Sb1 Pd1'
_space_group_name_H-M_alt 'P 4/m m m'
_space_group_IT_number 123
_space_group_name_Hall '-P 4 2'
_cell_length_a 4.836
_cell_length_b 4.836
_cell_length_c 4.729
_cell_angle_alpha 90.00
_cell_angle_beta 90.00
_cell_angle_gamma 90.00
loop_
_atom_site_label
_atom_site_type_symbol
_atom_site_fract_x
_atom_site_fract_y
_atom_site_fract_z
Fe1 Fe 0.000 0.000 0.000
Ag1 Ag 0.000 0.500 0.000
Sb1 Sb 0.000 0.000 0.500
Pd1 Pd 0.500 0.500 0.500

=====

# 2
# ZnCdTe2O6 (PBE-GGA, relaxed)
# - E: -4.94 eV per atom
# - Total magnetic moment: 0.0 μB per cell
# - Uncorrected formation energy: -1.117 eV/atom
data_ZnCdTe2O6
_chemical_formula_sum 'Zn4 Cd4 Te8 O24'
_space_group_name_H-M_alt 'C 1 2/c 1'
_space_group_IT_number 15
_space_group_name_Hall '-C 2yc'
_cell_length_a 10.389
_cell_length_b 10.046
_cell_length_c 7.025
_cell_angle_alpha 90.00
_cell_angle_beta 115.58
_cell_angle_gamma 90.00
loop_
_atom_site_label
_atom_site_type_symbol
_atom_site_fract_x
_atom_site_fract_y
_atom_site_fract_z
Zn1 Zn 0.000 0.238 0.250
Cd1 Cd 0.000 0.436 0.750
Te1 Te 0.196 0.135 0.772
O1 O 0.100 0.381 0.152
O2 O 0.126 0.125 0.476
O3 O 0.196 0.323 0.803

=====

# 3
# AsRu2O (PBE-GGA, relaxed)
# - E: -7.09 eV per atom
# - Total magnetic moment: 0.0 μB per cell
# - Uncorrected formation energy: -0.053 eV/atom
data_AsRu2O
_chemical_formula_sum 'As4 Ru8 O4'
_space_group_name_H-M_alt 'I -4 2 d'
_space_group_IT_number 122
_space_group_name_Hall 'I -4 2bw'
_cell_length_a 4.269
_cell_length_b 4.269
_cell_length_c 13.209
_cell_angle_alpha 90.00
_cell_angle_beta 90.00
_cell_angle_gamma 90.00
loop_
_atom_site_label
_atom_site_type_symbol
_atom_site_fract_x
_atom_site_fract_y
_atom_site_fract_z
As1 As 0.000 0.000 0.000
Ru1 Ru 0.162 0.250 0.625
O1 O 0.000 0.000 0.500

=====

# 4
# CsZn2Sb2 (PBE-GGA, relaxed)
# - E: -2.22 eV per atom
# - Total magnetic moment: 0.0 μB per cell
# - Uncorrected formation energy: 0.111 eV/atom
data_CsZn2Sb2
_chemical_formula_sum 'Cs2 Zn4 Sb4'
_space_group_name_H-M_alt 'P 4/m b m'
_space_group_IT_number 127
_space_group_name_Hall '-P 4 2ab'
_cell_length_a 9.172
_cell_length_b 9.172
_cell_length_c 3.442
_cell_angle_alpha 90.00
_cell_angle_beta 90.00
_cell_angle_gamma 90.00
loop_
_atom_site_label
_atom_site_type_symbol
_atom_site_fract_x
_atom_site_fract_y
_atom_site_fract_z
Cs1 Cs 0.000 0.000 0.000
Zn1 Zn 0.134 0.366 0.500
Sb1 Sb 0.136 0.636 0.000

=====

# 5
# LaNdAlAg (PBE-GGA, relaxed)
# - E: -4.39 eV per atom
# - Total magnetic moment: 0.0 μB per cell
# - ΔE_f: -0.315 eV/atom
data_LaNdAlAg
_chemical_formula_sum 'La1 Nd1 Al1 Ag1'
_space_group_name_H-M_alt 'P 4 m m'
_space_group_IT_number 99
_space_group_name_Hall 'P 4 -2'
_cell_length_a 3.699
_cell_length_b 3.699
_cell_length_c 7.874
_cell_angle_alpha 90.00
_cell_angle_beta 90.00
_cell_angle_gamma 90.00
loop_
_atom_site_label
_atom_site_type_symbol
_atom_site_fract_x
_atom_site_fract_y
_atom_site_fract_z
La1 La 0.000 0.000 0.000
Nd1 Nd 0.000 0.000 0.490
Al1 Al 0.500 0.500 0.250
Ag1 Ag 0.500 0.500 0.729

=====

# 6
# LaTm2Br (PBE-GGA, relaxed)
# - E: -4.12 eV per atom
# - Total magnetic moment: 0.0 μB per cell
# - Uncorrected formation energy: -0.233 eV/atom
data_LaTm2Br
_chemical_formula_sum 'La3 Tm6 Br3'
_space_group_name_H-M_alt 'R -3 m'
_space_group_IT_number 166
_space_group_name_Hall '-R 3 2"'
_cell_length_a 3.4727
_cell_length_b 3.4727
_cell_length_c 34.4632
_cell_angle_alpha 90.00
_cell_angle_beta 90.00
_cell_angle_gamma 120.00
loop_
_atom_site_label
_atom_site_type_symbol
_atom_site_fract_x
_atom_site_fract_y
_atom_site_fract_z
La1 La 0.0000 0.0000 0.0000
Tm1 Tm 0.0000 0.0000 0.0985
Br1 Br 0.0000 0.0000 0.5000

=====

# 7
# Pa4PS5 (PBE-GGA, relaxed)
# - E: -7.94 eV per atom
# - Total magnetic moment: 2.7 μB per cell
# - Uncorrected formation energy: -1.538 eV/atom
data_Pa4PS5
_chemical_formula_sum 'Pa8 P2 S10'
_space_group_name_H-M_alt 'C 1 2/m 1'
_space_group_IT_number 12
_space_group_name_Hall '-C 2y'
_cell_length_a 16.992
_cell_length_b 3.926
_cell_length_c 7.821
_cell_angle_alpha 90.00
_cell_angle_beta 104.40
_cell_angle_gamma 90.00
loop_
_atom_site_label
_atom_site_type_symbol
_atom_site_fract_x
_atom_site_fract_y
_atom_site_fract_z
Pa1 Pa 0.002 0.000 0.253
Pa2 Pa 0.166 0.500 0.596
P1 P 0.000 0.500 0.500
S1 S 0.000 0.500 0.000
S2 S 0.163 0.000 0.830
S3 S 0.168 0.000 0.344

=====

# 8
# NbBAu2Cl (PBE-GGA, relaxed)
# - E: -3.23 eV per atom
# - Total magnetic moment: 0.7 μB per cell
# - Uncorrected formation energy: 1.798 eV/atom
data_NbBAu2Cl
_chemical_formula_sum 'Nb1 B1 Au2 Cl1'
_space_group_name_H-M_alt 'P 4/m m m'
_space_group_IT_number 123
_space_group_name_Hall '-P 4 2'
_cell_length_a 4.804
_cell_length_b 4.804
_cell_length_c 4.584
_cell_angle_alpha 90.00
_cell_angle_beta 90.00
_cell_angle_gamma 90.00
loop_
_atom_site_label
_atom_site_type_symbol
_atom_site_fract_x
_atom_site_fract_y
_atom_site_fract_z
Nb1 Nb 0.000 0.000 0.000
B1 B 0.500 0.500 0.000
Au1 Au 0.000 0.500 0.500
Cl1 Cl 0.000 0.000 0.500

=====

# 9
# LiPtIN2 (PBE-GGA, relaxed)
# - E: -3.44 eV per atom
# - Total magnetic moment: 3.8 μB per cell
# - Uncorrected formation energy: 1.786 eV/atom
data_LiPtIN2
_chemical_formula_sum 'Li1 Pt1 I1 N2'
_space_group_name_H-M_alt 'P 4/m m m'
_space_group_IT_number 123
_space_group_name_Hall '-P 4 2'
_cell_length_a 3.877
_cell_length_b 3.877
_cell_length_c 5.952
_cell_angle_alpha 90.00
_cell_angle_beta 90.00
_cell_angle_gamma 90.00
loop_
_atom_site_label
_atom_site_type_symbol
_atom_site_fract_x
_atom_site_fract_y
_atom_site_fract_z
Li1 Li 0.000 0.000 0.000
Pt1 Pt 0.500 0.500 0.500
I1 I 0.000 0.000 0.500
N1 N 0.000 0.500 0.000

=====

# 10
# CrP2H (PBE-GGA, relaxed)
# - E: -5.62 eV per atom
# - Total magnetic moment: 4.0 μB per cell
data_CrP2H
_chemical_formula_sum 'Cr4 P8 H4'
_space_group_name_H-M_alt 'I -4 2 d'
_space_group_IT_number 122
_space_group_name_Hall 'I -4 2bw'
_cell_length_a 5.403
_cell_length_b 5.403
_cell_length_c 5.772
_cell_angle_alpha 90.00
_cell_angle_beta 90.00
_cell_angle_gamma 90.00
loop_
_atom_site_label
_atom_site_type_symbol
_atom_site_fract_x
_atom_site_fract_y
_atom_site_fract_z
Cr1 Cr 0.000 0.000 0.000
P1 P 0.171 0.250 0.625
H1 H 0.000 0.000 0.500

=====

Q: The lowest E belongs to which entry?
A: Pa4PS5

=====

Q: Among the records above, which one has the highest total magnetic moment?
A: CrP2H

=====

Q: The highest E belongs to which entry?
A: CsZn2Sb2